{
  "formula": "ThInBr2",
  "functional": "PBE-GGA",
  "state": "relaxed",
  "n_ef_per_ev_atom": 0.9358,
  "mass_density_g_cm3": 6.02,
  "crystal_system": "trigonal",
  "formation_energy_uncorrected_ev_per_atom": -0.576,
  "energy_ev_per_cell": -15.807,
  "lattice": [[-2.0637, -0.1089, -3.2255], [1.7012, -0.8072, -3.3360], [-2.0591, -11.0095, -0.5856]],
  "species": ["In", "Br", "Th", "Br"],
  "frac_coords": [[0.5000, 0.5000, 0.5000], [0.0846, 0.0846, 0.7461], [0.0000, 0.0000, 0.0000], [0.9154, 0.9154, 0.2539]]
}